Entry 1:
# BeCu2MoP

BeCu2MoP after structural relaxation (PBE, Alexandria). Values from VASP.

The structure in Quantum ESPRESSO input format:
```
&SYSTEM
  ibrav = 0, nat = 5, ntyp = 4
/
ATOMIC_SPECIES
Be 9.01 Be.upf
Cu 63.55 Cu.upf
Mo 95.94 Mo.upf
P 30.97 P.upf
CELL_PARAMETERS angstrom
4.632 0.000 0.000
0.000 4.632 0.000
0.000 0.000 4.319
ATOMIC_POSITIONS crystal
Be 0.000 0.000 0.000
Cu 0.000 0.500 0.500
Cu 0.500 0.000 0.500
Mo 0.000 0.000 0.500
P 0.500 0.500 0.000
```

* total magnetic moment: 0.0 μB per cell
* DOS at the Fermi energy: 2.8 states/eV per cell
* DFT formation energy: 1.7118 eV/atom
* SG: No. 123

Entry 2:
# ErTmScRu

ErTmScRu after structural relaxation (PBE, Alexandria). Values from VASP.

The structure in Quantum ESPRESSO input format:
```
&SYSTEM
  ibrav = 0, nat = 4, ntyp = 4
/
ATOMIC_SPECIES
Er 167.26 Er.upf
Tm 168.93 Tm.upf
Sc 44.96 Sc.upf
Ru 101.07 Ru.upf
CELL_PARAMETERS angstrom
0.000 3.536 3.536
3.536 0.000 3.536
3.536 3.536 0.000
ATOMIC_POSITIONS crystal
Er 0.000 0.000 0.000
Tm 0.500 0.500 0.500
Sc 0.250 0.250 0.250
Ru 0.750 0.750 0.750
```

* total magnetic moment: 0.0 μB per cell
* DOS at the Fermi energy: 4.7 states/eV per cell
* DFT formation energy: -0.0771 eV/atom
* SG: No. 216

Entry 3:
# Sr2MgOs

Sr2MgOs after structural relaxation (PBE, Alexandria). Values from VASP.

The structure in Quantum ESPRESSO input format:
```
&SYSTEM
  ibrav = 0, nat = 4, ntyp = 3
/
ATOMIC_SPECIES
Sr 87.62 Sr.upf
Mg 24.30 Mg.upf
Os 190.23 Os.upf
CELL_PARAMETERS angstrom
6.456 -1.821 0.000
6.456 1.821 0.000
-2.319 0.000 4.972
ATOMIC_POSITIONS crystal
Sr 0.000 0.000 0.000
Sr 0.192 0.192 0.691
Mg 0.378 0.378 0.378
Os 0.714 0.714 0.212
```

* total magnetic moment: 0.0 μB per cell
* DOS at the Fermi energy: 2.8 states/eV per cell
* DFT formation energy: 0.4368 eV/atom
* SG: No. 8

Entry 4:
# YTmCl

YTmCl after structural relaxation (PBE, Alexandria). Values from VASP.

The structure in Quantum ESPRESSO input format:
```
&SYSTEM
  ibrav = 0, nat = 6, ntyp = 3
/
ATOMIC_SPECIES
Y 88.91 Y.upf
Tm 168.93 Tm.upf
Cl 35.45 Cl.upf
CELL_PARAMETERS angstrom
4.357 0.000 0.000
0.000 4.357 0.000
0.000 0.000 9.279
ATOMIC_POSITIONS crystal
Y 0.250 0.250 0.200
Y 0.750 0.750 0.800
Tm 0.250 0.250 0.575
Tm 0.750 0.750 0.425
Cl 0.250 0.750 0.000
Cl 0.750 0.250 0.000
```

* energy relative to the elements, uncorrected: -70 kJ/mol of atoms
* total magnetic moment: 0.0 μB per cell
* DOS at the Fermi energy: 6.0 states/eV per cell
* SG: No. 129

Entry 5:
# MgSbPb2

MgSbPb2 after structural relaxation (PBE, Alexandria). Values from VASP.

The structure in Quantum ESPRESSO input format:
```
&SYSTEM
  ibrav = 0, nat = 4, ntyp = 3
/
ATOMIC_SPECIES
Mg 24.30 Mg.upf
Sb 121.76 Sb.upf
Pb 207.20 Pb.upf
CELL_PARAMETERS angstrom
2.332 -2.590 0.000
2.332 2.590 0.000
0.000 0.000 9.329
ATOMIC_POSITIONS crystal
Mg 0.000 0.000 0.000
Sb 0.500 0.500 0.791
Pb 0.000 0.000 0.509
Pb 0.500 0.500 0.235
```

* energy relative to the elements, uncorrected: -1 kJ/mol of atoms
* total magnetic moment: 0.0 μB per cell
* DOS at the Fermi energy: 2.4 states/eV per cell
* SG: No. 35

Entry 6:
# YCr2Co

YCr2Co after structural relaxation (PBE, Alexandria). Values from VASP.

The structure in Quantum ESPRESSO input format:
```
&SYSTEM
  ibrav = 0, nat = 4, ntyp = 3
/
ATOMIC_SPECIES
Y 88.91 Y.upf
Cr 52.00 Cr.upf
Co 58.93 Co.upf
CELL_PARAMETERS angstrom
4.481 -1.517 0.000
4.481 1.517 0.000
-1.254 0.000 4.820
ATOMIC_POSITIONS crystal
Y 0.000 0.000 0.000
Cr 0.217 0.217 0.630
Cr 0.783 0.783 0.370
Co 0.500 0.500 0.500
```

* total magnetic moment: 0.6 μB per cell
* DOS at the Fermi energy: 4.5 states/eV per cell
* DFT formation energy: 0.3934 eV/atom
* SG: No. 12

Entry 7:
# ErZn3Cu8

ErZn3Cu8 after structural relaxation (PBE, Alexandria). Values from VASP.

The structure in Quantum ESPRESSO input format:
```
&SYSTEM
  ibrav = 0, nat = 12, ntyp = 3
/
ATOMIC_SPECIES
Er 167.26 Er.upf
Zn 65.41 Zn.upf
Cu 63.55 Cu.upf
CELL_PARAMETERS angstrom
4.955 0.000 0.000
-2.478 4.291 0.000
0.000 0.000 7.976
ATOMIC_POSITIONS crystal
Er 0.000 0.000 0.000
Zn 0.000 0.000 0.395
Zn 0.667 0.333 0.494
Zn 0.667 0.333 0.841
Cu 0.165 0.329 0.681
Cu 0.165 0.835 0.681
Cu 0.333 0.667 0.435
Cu 0.333 0.667 0.937
Cu 0.504 0.008 0.195
Cu 0.504 0.496 0.195
Cu 0.671 0.835 0.681
Cu 0.992 0.496 0.195
```

* total magnetic moment: 0.0 μB per cell
* DOS at the Fermi energy: 6.0 states/eV per cell
* DFT formation energy: -0.0876 eV/atom
* SG: No. 156

Entry 8:
# ZrGeTeN2

ZrGeTeN2 after structural relaxation (PBE, Alexandria). Values from VASP.

The structure in Quantum ESPRESSO input format:
```
&SYSTEM
  ibrav = 0, nat = 5, ntyp = 4
/
ATOMIC_SPECIES
Zr 91.22 Zr.upf
Ge 72.64 Ge.upf
Te 127.60 Te.upf
N 14.01 N.upf
CELL_PARAMETERS angstrom
4.197 0.000 0.000
0.000 4.197 0.000
0.000 0.000 6.023
ATOMIC_POSITIONS crystal
Zr 0.000 0.000 0.000
Ge 0.500 0.500 0.500
Te 0.000 0.000 0.500
N 0.000 0.500 0.000
N 0.500 0.000 0.000
```

* energy relative to the elements, uncorrected: 42 kJ/mol of atoms
* total magnetic moment: 0.5 μB per cell
* DOS at the Fermi energy: 3.7 states/eV per cell
* SG: No. 123

Entry 9:
# Hg2SbSe

Hg2SbSe after structural relaxation (PBE, Alexandria). Values from VASP.

The structure in Quantum ESPRESSO input format:
```
&SYSTEM
  ibrav = 0, nat = 4, ntyp = 3
/
ATOMIC_SPECIES
Hg 200.59 Hg.upf
Sb 121.76 Sb.upf
Se 78.96 Se.upf
CELL_PARAMETERS angstrom
3.978 0.000 0.000
0.000 4.320 0.000
0.000 0.000 6.364
ATOMIC_POSITIONS crystal
Hg 0.000 0.000 0.000
Hg 0.500 0.500 0.000
Sb 0.000 0.000 0.500
Se 0.500 0.500 0.500
```

* energy relative to the elements, uncorrected: 1 kJ/mol of atoms
* total magnetic moment: 0.0 μB per cell
* DOS at the Fermi energy: 1.8 states/eV per cell
* SG: No. 47

Entry 10:
# IrSe2S

IrSe2S after structural relaxation (PBE, Alexandria). Values from VASP.

The structure in Quantum ESPRESSO input format:
```
&SYSTEM
  ibrav = 0, nat = 8, ntyp = 3
/
ATOMIC_SPECIES
Ir 192.22 Ir.upf
Se 78.96 Se.upf
S 32.06 S.upf
CELL_PARAMETERS angstrom
4.118 0.000 0.000
-0.261 6.824 0.000
-0.010 -2.632 7.526
ATOMIC_POSITIONS crystal
Ir 0.000 0.000 0.000
Ir 0.491 0.798 0.050
Se 0.026 0.771 0.689
Se 0.507 0.190 0.928
Se 0.555 0.026 0.362
Se 0.564 0.524 0.163
S 0.431 0.604 0.755
S 0.985 0.192 0.299
```

* energy relative to the elements, uncorrected: 0 kJ/mol of atoms
* total magnetic moment: 0.0 μB per cell
* DOS at the Fermi energy: 2.8 states/eV per cell
* SG: No. 1

Entry 11:
# NaAcPrGd

NaAcPrGd after structural relaxation (PBE, Alexandria). Values from VASP.

The structure in Quantum ESPRESSO input format:
```
&SYSTEM
  ibrav = 0, nat = 4, ntyp = 4
/
ATOMIC_SPECIES
Na 22.99 Na.upf
Ac 227.00 Ac.upf
Pr 140.91 Pr.upf
Gd 157.25 Gd.upf
CELL_PARAMETERS angstrom
0.000 4.192 4.192
4.192 0.000 4.192
4.192 4.192 0.000
ATOMIC_POSITIONS crystal
Na 0.000 0.000 0.000
Ac 0.750 0.750 0.750
Pr 0.250 0.250 0.250
Gd 0.500 0.500 0.500
```

* total magnetic moment: 7.6 μB per cell
* DOS at the Fermi energy: 6.7 states/eV per cell
* DFT formation energy: 0.2350 eV/atom
* SG: No. 216

Entry 12:
# LaTm8Sc2

LaTm8Sc2 after structural relaxation (PBE, Alexandria). Values from VASP.

The structure in Quantum ESPRESSO input format:
```
&SYSTEM
  ibrav = 0, nat = 11, ntyp = 3
/
ATOMIC_SPECIES
La 138.91 La.upf
Tm 168.93 Tm.upf
Sc 44.96 Sc.upf
CELL_PARAMETERS angstrom
9.429 -3.390 0.000
9.429 3.390 0.000
-0.243 0.000 5.342
ATOMIC_POSITIONS crystal
La 0.000 0.000 0.000
Tm 0.128 0.595 0.267
Tm 0.193 0.193 0.237
Tm 0.405 0.872 0.733
Tm 0.450 0.450 0.761
Tm 0.550 0.550 0.239
Tm 0.595 0.128 0.267
Tm 0.807 0.807 0.763
Tm 0.872 0.405 0.733
Sc 0.286 0.286 0.753
Sc 0.714 0.714 0.247
```

* total magnetic moment: 0.0 μB per cell
* DOS at the Fermi energy: 19.5 states/eV per cell
* DFT formation energy: 0.1255 eV/atom
* SG: No. 12

Please write out number 1 again, unchanged.
# BeCu2MoP

BeCu2MoP after structural relaxation (PBE, Alexandria). Values from VASP.

The structure in Quantum ESPRESSO input format:
```
&SYSTEM
  ibrav = 0, nat = 5, ntyp = 4
/
ATOMIC_SPECIES
Be 9.01 Be.upf
Cu 63.55 Cu.upf
Mo 95.94 Mo.upf
P 30.97 P.upf
CELL_PARAMETERS angstrom
4.632 0.000 0.000
0.000 4.632 0.000
0.000 0.000 4.319
ATOMIC_POSITIONS crystal
Be 0.000 0.000 0.000
Cu 0.000 0.500 0.500
Cu 0.500 0.000 0.500
Mo 0.000 0.000 0.500
P 0.500 0.500 0.000
```

* total magnetic moment: 0.0 μB per cell
* DOS at the Fermi energy: 2.8 states/eV per cell
* DFT formation energy: 1.7118 eV/atom
* SG: No. 123